[1]
The following is a GGA-PBE calculation of crystalline Nd2Co3B2 at its relaxed geometry, from Alexandria via LeMat-Bulk.

Values from the calculation:
Final energy, eV per atom: -6.45

Lattice parameters (Å, degrees): 5.4310 5.4310 6.5139 115.82 115.82 36.38
Fractional positions:
Nd 0.1279 0.1279 0.2694
Nd 0.8721 0.8721 0.7306
Co 0.3444 0.3444 0.0808
Co 0.5000 0.5000 0.5000
Co 0.6556 0.6556 0.9192
B 0.1428 0.1428 0.7468
B 0.8572 0.8572 0.2532

=====

[2]
The following is a GGA-PBE calculation of crystalline La2OsPt at its relaxed geometry, from Alexandria via LeMat-Bulk.

Values from the calculation:
Final energy, eV per atom: -7.08

Lattice parameters (Å, degrees): 5.7729 5.7729 4.9742 98.87 98.87 35.02
Fractional positions:
La 0.0000 0.0000 0.0000
La 0.2137 0.2137 0.6181
Os 0.4544 0.4544 0.4897
Pt 0.7579 0.7579 0.1526

=====

[3]
The following is a GGA-PBE calculation of crystalline TlHg2Rh2 at its relaxed geometry, from Alexandria via LeMat-Bulk.

Values from the calculation:
Energy above the lowest structure with this stoichiometry, eV/atom: 0.263
Final energy, eV per atom: -3.19

Lattice parameters (Å, degrees): 8.8684 8.8684 8.8684 156.16 156.16 33.96
Fractional positions:
Tl 0.0000 0.0000 0.0000
Hg 0.3807 0.3807 0.0000
Hg 0.6193 0.6193 0.0000
Rh 0.2500 0.7500 0.5000
Rh 0.7500 0.2500 0.5000

=====

The evaluated DFT formation energy for the records listed, in turn: -89, -115, 168 kJ/mol of formula units.